A plane-wave DFT calculation with PBE-GGA was carried out for LiHoTh2Te4 after structural relaxation.

Cell: 4.1727 7.2459 8.1432 Å, 106.88 90.00 90.00°
Last column: nearest neighbours and their distance in Å.
Fractional positions:
Li  0.0000  0.0000  0.0000  6 Te 2.94-2.98
Ho  0.5000  0.5000  0.0000  6 Te 3.02-3.03
Th  0.5000  0.0000  0.5000  6 Te 3.17-3.18
Th  0.0000  0.5000  0.5000  6 Te 3.24-3.25
Te  0.5000  0.2358  0.2272  2 Li 2.98, 1 Ho 3.02, 3 Th 3.17-3.24
Te  0.5000  0.7642  0.7728  2 Li 2.98, 1 Ho 3.02, 3 Th 3.17-3.24
Te  0.0000  0.2473  0.7709  1 Li 2.94, 2 Ho 3.03, 3 Th 3.18-3.25
Te  0.0000  0.7527  0.2291  1 Li 2.94, 2 Ho 3.03, 3 Th 3.18-3.25

Calculated values
ΔE_f (raw) ... -1133 meV per atom
Uncorrected energy ... -5.37 eV/atom



A plane-wave DFT calculation with PBE-GGA was carried out for Li4HoTh3Te8 after structural relaxation.

Cell: 8.6099 8.8107 8.6097 Å, 119.26 120.00 90.00°
Last column: nearest neighbours and their distance in Å.
Fractional positions:
Li  0.5000  0.0000  0.0000  6 Te 3.06
Li  0.5000  0.0000  0.5000  6 Te 2.99-3.00
Li  0.0000  0.0000  0.0000  6 Te 2.98-3.00
Li  0.0000  0.0000  0.5000  6 Te 2.99-3.00
Ho  0.0000  0.5000  0.0000  6 Te 3.10
Th  0.5000  0.5000  0.0000  6 Te 3.17-3.18
Th  0.5000  0.5000  0.5000  6 Te 3.17-3.18
Th  0.0000  0.5000  0.5000  6 Te 3.17-3.18
Te  0.2514  0.7649  0.0136  3 Li 2.99-3.06, 1 Ho 3.10, 2 Th 3.17
Te  0.2514  0.7649  0.5029  3 Li 3.00-3.06, 1 Ho 3.10, 2 Th 3.17
Te  0.2424  0.2273  0.4847  3 Li 2.98-2.99, 3 Th 3.18
Te  0.7622  0.7649  0.0136  3 Li 2.99-3.06, 1 Ho 3.10, 2 Th 3.17
Te  0.2378  0.2351  0.9864  3 Li 2.99-3.06, 1 Ho 3.10, 2 Th 3.17
Te  0.7576  0.7727  0.5153  3 Li 2.98-2.99, 3 Th 3.18
Te  0.7486  0.2351  0.4971  3 Li 3.00-3.06, 1 Ho 3.10, 2 Th 3.17
Te  0.7486  0.2351  0.9864  3 Li 2.99-3.06, 1 Ho 3.10, 2 Th 3.17

Calculated values
ΔE_f (raw) ... -1128 meV per atom
Uncorrected energy ... -4.85 eV/atom



A plane-wave DFT calculation with PBE-GGA was carried out for LiHo2TlTe4 after structural relaxation.

Cell: 4.4305 7.7262 15.6470 Å, 90.00 90.00 106.66°
Last column: nearest neighbours and their distance in Å.
Fractional positions:
Li  0.8353  0.6707  0.7500  4 Te 2.69-2.70
Li  0.1647  0.3293  0.2500  4 Te 2.69-2.70
Ho  0.3667  0.7334  0.5646  6 Te 3.07-3.13
Ho  0.6333  0.2666  0.0646  6 Te 3.07-3.13
Ho  0.6333  0.2666  0.4354  6 Te 3.07-3.13
Ho  0.3667  0.7334  0.9354  6 Te 3.07-3.13
Tl  0.1132  0.2264  0.7500  6 Te 3.40-3.58
Tl  0.8868  0.7736  0.2500  6 Te 3.40-3.58
Te  0.2689  0.5377  0.1087  1 Li 2.70
Te  0.7311  0.4623  0.6087  1 Li 2.70
Te  0.7311  0.4623  0.8913  1 Li 2.70
Te  0.2689  0.5377  0.3913  1 Li 2.70
Te  0.0000  0.0000  0.5000  4 Ho 3.13
Te  0.0000  0.0000  0.0000  4 Ho 3.13
Te  0.4387  0.8774  0.7500  2 Li 2.69
Te  0.5613  0.1226  0.2500  2 Li 2.69

Calculated values
ΔE_f (raw) ... -1127 meV per atom
Uncorrected energy ... -4.38 eV/atom



A plane-wave DFT calculation with PBE-GGA was carried out for LiHoTmTe3 after structural relaxation.

Cell: 4.1850 8.7858 9.4246 Å, 103.98 90.00 90.00°
Last column: nearest neighbours and their distance in Å.
Fractional positions:
Li  0.2500  0.0854  0.5850  4 Te 2.73-2.77, 2 Li 2.83
Li  0.7500  0.9146  0.4150  4 Te 2.73-2.77, 2 Li 2.83
Ho  0.2500  0.1862  0.2324  7 Te 3.10-3.25
Ho  0.7500  0.8138  0.7676  7 Te 3.10-3.25
Tm  0.2500  0.6674  0.1654  6 Te 3.01-3.10
Tm  0.7500  0.3326  0.8346  6 Te 3.01-3.10
Te  0.7500  0.9099  0.1225  1 Li 2.75
Te  0.2500  0.0901  0.8775  1 Li 2.75
Te  0.2500  0.7608  0.5041  3 Li 2.73-2.77
Te  0.7500  0.2392  0.4959  3 Li 2.73-2.77
Te  0.7500  0.4221  0.1696  3 Tm 3.01-3.06, 2 Ho 3.10
Te  0.2500  0.5779  0.8304  3 Tm 3.01-3.06, 2 Ho 3.10

Calculated values
ΔE_f (raw) ... -1190 meV per atom
Uncorrected energy ... -4.59 eV/atom



A plane-wave DFT calculation with PBE-GGA was carried out for Li2HoTmTe4 after structural relaxation.

Cell: 4.3164 7.4699 7.4752 Å, 109.43 90.00 90.00°
Last column: nearest neighbours and their distance in Å.
Fractional positions:
Li  0.5000  0.0000  0.5000  6 Te 3.04-3.05
Li  0.0000  0.5000  0.5000  6 Te 3.03
Ho  0.0000  0.0000  0.0000  6 Te 3.07
Tm  0.5000  0.5000  0.0000  6 Te 3.06
Te  0.5000  0.2528  0.2539  3 Li 3.03-3.04, 1 Tm 3.06, 2 Ho 3.07
Te  0.5000  0.7472  0.7461  3 Li 3.03-3.04, 1 Tm 3.06, 2 Ho 3.07
Te  0.0000  0.2509  0.7471  3 Li 3.03-3.05, 2 Tm 3.06, 1 Ho 3.07
Te  0.0000  0.7491  0.2529  3 Li 3.03-3.05, 2 Tm 3.06, 1 Ho 3.07

Calculated values
ΔE_f (raw) ... -1279 meV per atom
Uncorrected energy ... -4.46 eV/atom



A plane-wave DFT calculation with PBE-GGA was carried out for LiHo2TmTe4 after structural relaxation.

Cell: 4.2836 7.4587 7.4794 Å, 109.12 90.00 90.00°
Last column: nearest neighbours and their distance in Å.
Fractional positions:
Li  0.0000  0.0000  0.0000  6 Te 2.98-3.00
Ho  0.5000  0.0000  0.5000  6 Te 3.06
Ho  0.0000  0.5000  0.5000  6 Te 3.10-3.11
Tm  0.5000  0.5000  0.0000  6 Te 3.03
Te  0.5000  0.2429  0.2409  2 Li 3.00, 1 Tm 3.03, 3 Ho 3.06-3.10
Te  0.5000  0.7571  0.7591  2 Li 3.00, 1 Tm 3.03, 3 Ho 3.06-3.10
Te  0.0000  0.2466  0.7573  1 Li 2.98, 2 Tm 3.03, 3 Ho 3.06-3.11
Te  0.0000  0.7534  0.2427  1 Li 2.98, 2 Tm 3.03, 3 Ho 3.06-3.11

Calculated values
ΔE_f (raw) ... -1272 meV per atom
Uncorrected energy ... -4.79 eV/atom